1.
# Ho2SiPd, optimized geometry, DFT GGA-PBE
# Raw total energy = -5.789 eV per atom
# Volume = 87.38 Å³/f.u.
data_Ho2SiPd
_cell_length_a 4.2943
_cell_length_b 5.6173
_cell_length_c 7.2448
_cell_angle_alpha 90.00
_cell_angle_beta 90.00
_cell_angle_gamma 90.00
_space_group_name_H-M_alt 'P m c 21'
_space_group_IT_number 26
loop_
_space_group_symop_operation_xyz
'x,y,z'
'-x,-y,z+1/2'
'-x,y,z'
'x,-y,z+1/2'
loop_
_atom_site_label
_atom_site_fract_x
_atom_site_fract_y
_atom_site_fract_z
_atom_site_occupancy
Ho1 0.0000 0.1108 0.0000 1
Ho2 0.5000 0.3882 0.6444 1
Si1 0.5000 0.1151 0.2770 1
Pd1 0.0000 0.3859 0.3586 1

2.
# Ho3SiPd4, optimized geometry, DFT GGA-PBE
# Raw total energy = -5.766 eV per atom
# Volume = 159.60 Å³/f.u.
data_Ho3SiPd4
_cell_length_a 5.6711
_cell_length_b 4.2168
_cell_length_c 6.6743
_cell_angle_alpha 90.00
_cell_angle_beta 90.20
_cell_angle_gamma 90.00
_space_group_name_H-M_alt 'P 1 m 1'
_space_group_IT_number 6
loop_
_space_group_symop_operation_xyz
'x,y,z'
'x,-y,z'
loop_
_atom_site_label
_atom_site_fract_x
_atom_site_fract_y
_atom_site_fract_z
_atom_site_occupancy
Ho1 0.0000 0.0000 0.0000 1
Ho2 0.2404 0.0000 0.5012 1
Ho3 0.7245 0.5000 0.3641 1
Si1 0.4783 0.5000 0.8390 1
Pd1 0.0369 0.5000 0.7247 1
Pd2 0.2232 0.5000 0.2065 1
Pd3 0.5100 0.0000 0.0655 1
Pd4 0.6913 0.0000 0.6692 1

3.
# HoSiPd2, optimized geometry, DFT GGA-PBE
# Raw total energy = -5.855 eV per atom
# Volume = 72.00 Å³/f.u.
data_HoSiPd2
_cell_length_a 4.1655
_cell_length_b 6.1420
_cell_length_c 5.6286
_cell_angle_alpha 90.00
_cell_angle_beta 90.00
_cell_angle_gamma 90.00
_space_group_name_H-M_alt 'P m n 21'
_space_group_IT_number 31
loop_
_space_group_symop_operation_xyz
'x,y,z'
'-x+1/2,-y,z+1/2'
'-x,y,z'
'x+1/2,-y,z+1/2'
loop_
_atom_site_label
_atom_site_fract_x
_atom_site_fract_y
_atom_site_fract_z
_atom_site_occupancy
Ho1 0.0000 0.0851 0.0000 1
Si1 0.0000 0.6099 0.7632 1
Pd1 0.0000 0.2593 0.4850 1
Pd2 0.0000 0.6594 0.2899 1

4.
# Ho6SiPd2, optimized geometry, DFT GGA-PBE
# Raw total energy = -5.353 eV per atom
# Volume = 222.13 Å³/f.u.
data_Ho6SiPd2
_cell_length_a 7.7666
_cell_length_b 7.7666
_cell_length_c 4.2521
_cell_angle_alpha 90.00
_cell_angle_beta 90.00
_cell_angle_gamma 120.00
_space_group_name_H-M_alt 'P -6 2 m'
_space_group_IT_number 189
_space_group_name_Hall 'P -6 -2'
loop_
_atom_site_label
_atom_site_fract_x
_atom_site_fract_y
_atom_site_fract_z
_atom_site_occupancy
Ho1 0.0000 0.2609 0.0000 1
Ho2 0.0000 0.6010 0.5000 1
Si1 0.0000 0.0000 0.5000 1
Pd1 0.3333 0.6667 0.0000 1

5.
# HoSiPd, optimized geometry, DFT GGA-PBE
# Raw total energy = -5.756 eV per atom
# Volume = 63.49 Å³/f.u.
data_HoSiPd
_cell_length_a 6.3327
_cell_length_b 6.3327
_cell_length_c 6.3327
_cell_angle_alpha 90.00
_cell_angle_beta 90.00
_cell_angle_gamma 90.00
_space_group_name_H-M_alt 'F -4 3 m'
_space_group_IT_number 216
_space_group_name_Hall 'F -4 2 3'
loop_
_atom_site_label
_atom_site_fract_x
_atom_site_fract_y
_atom_site_fract_z
_atom_site_occupancy
Ho1 0.0000 0.0000 0.0000 1
Si1 0.0000 0.0000 0.5000 1
Pd1 0.2500 0.2500 0.2500 1

6.
# Ho6Si2Pd, optimized geometry, DFT GGA-PBE
# Raw total energy = -5.378 eV per atom
# Volume = 221.65 Å³/f.u.
data_Ho6Si2Pd
_cell_length_a 7.7909
_cell_length_b 7.7909
_cell_length_c 4.2165
_cell_angle_alpha 90.00
_cell_angle_beta 90.00
_cell_angle_gamma 120.00
_space_group_name_H-M_alt 'P -6 2 m'
_space_group_IT_number 189
_space_group_name_Hall 'P -6 -2'
loop_
_atom_site_label
_atom_site_fract_x
_atom_site_fract_y
_atom_site_fract_z
_atom_site_occupancy
Ho1 0.0000 0.2609 0.0000 1
Ho2 0.0000 0.5919 0.5000 1
Si1 0.3333 0.6667 0.0000 1
Pd1 0.0000 0.0000 0.5000 1

7.
# Ho4SiPd3, optimized geometry, DFT GGA-PBE
# Raw total energy = -5.783 eV per atom
# Volume = 175.31 Å³/f.u.
data_Ho4SiPd3
_cell_length_a 5.5615
_cell_length_b 4.3801
_cell_length_c 7.1968
_cell_angle_alpha 90.00
_cell_angle_beta 90.19
_cell_angle_gamma 90.00
_space_group_name_H-M_alt 'P 1 m 1'
_space_group_IT_number 6
loop_
_space_group_symop_operation_xyz
'x,y,z'
'x,-y,z'
loop_
_atom_site_label
_atom_site_fract_x
_atom_site_fract_y
_atom_site_fract_z
_atom_site_occupancy
Ho1 0.0000 0.0000 0.0000 1
Ho2 0.2248 0.0000 0.5028 1
Ho3 0.4951 0.5000 0.1405 1
Ho4 0.7215 0.5000 0.6348 1
Si1 0.0017 0.5000 0.2797 1
Pd1 0.2126 0.5000 0.7745 1
Pd2 0.5158 0.0000 0.8608 1
Pd3 0.7269 0.0000 0.3538 1

8.
# Ho2SiPd, optimized geometry, DFT GGA-PBE
# Raw total energy = -5.783 eV per atom
# Volume = 87.47 Å³/f.u.
data_Ho2SiPd
_cell_length_a 4.3108
_cell_length_b 7.2113
_cell_length_c 5.6274
_cell_angle_alpha 90.00
_cell_angle_beta 90.00
_cell_angle_gamma 90.00
_space_group_name_H-M_alt 'P m n 21'
_space_group_IT_number 31
loop_
_space_group_symop_operation_xyz
'x,y,z'
'-x+1/2,-y,z+1/2'
'-x,y,z'
'x+1/2,-y,z+1/2'
loop_
_atom_site_label
_atom_site_fract_x
_atom_site_fract_y
_atom_site_fract_z
_atom_site_occupancy
Ho1 0.0000 0.0658 0.0000 1
Ho2 0.0000 0.5781 0.2328 1
Si1 0.0000 0.7057 0.7207 1
Pd1 0.0000 0.2125 0.4934 1

9.
# TbHoSi2Pd4, optimized geometry, DFT GGA-PBE
# Raw total energy = -6.046 eV per atom
# Volume = 140.85 Å³/f.u.
data_TbHoSi2Pd4
_cell_length_a 7.1114
_cell_length_b 3.8844
_cell_length_c 10.1980
_cell_angle_alpha 90.00
_cell_angle_beta 90.00
_cell_angle_gamma 90.00
_space_group_name_H-M_alt 'A m m 2'
_space_group_IT_number 38
loop_
_space_group_symop_operation_xyz
'x,y,z'
'-x,-y,z'
'-x,y,z'
'x,-y,z'
'x,y+1/2,z+1/2'
'-x,-y+1/2,z+1/2'
'-x,y+1/2,z+1/2'
'x,-y+1/2,z+1/2'
loop_
_atom_site_label
_atom_site_fract_x
_atom_site_fract_y
_atom_site_fract_z
_atom_site_occupancy
Tb1 0.0000 0.0000 0.0000 1
Ho1 0.5000 0.0000 0.1086 1
Si1 0.0000 0.0000 0.2833 1
Si2 0.5000 0.0000 0.8252 1
Pd1 0.1975 0.0000 0.7005 1
Pd2 0.3036 0.0000 0.4082 1

10.
# HoSi2TcPd, optimized geometry, DFT GGA-PBE
# Raw total energy = -7.011 eV per atom
# Volume = 84.69 Å³/f.u.
data_HoSi2TcPd
_cell_length_a 4.1349
_cell_length_b 4.1349
_cell_length_c 9.9071
_cell_angle_alpha 90.00
_cell_angle_beta 90.00
_cell_angle_gamma 90.00
_space_group_name_H-M_alt 'I -4 m 2'
_space_group_IT_number 119
_space_group_name_Hall 'I -4 -2'
loop_
_atom_site_label
_atom_site_fract_x
_atom_site_fract_y
_atom_site_fract_z
_atom_site_occupancy
Ho1 0.0000 0.0000 0.0000 1
Si1 0.0000 0.0000 0.3779 1
Tc1 0.0000 0.5000 0.7500 1
Pd1 0.0000 0.5000 0.2500 1

11.
# YHo2Si4Pd4, optimized geometry, DFT GGA-PBE
# Raw total energy = -6.234 eV per atom
# Volume = 195.75 Å³/f.u.
data_YHo2Si4Pd4
_cell_length_a 4.1167
_cell_length_b 6.9623
_cell_length_c 13.6592
_cell_angle_alpha 90.00
_cell_angle_beta 90.00
_cell_angle_gamma 90.00
_space_group_name_H-M_alt 'I m m m'
_space_group_IT_number 71
_space_group_name_Hall '-I 2 2'
loop_
_atom_site_label
_atom_site_fract_x
_atom_site_fract_y
_atom_site_fract_z
_atom_site_occupancy
Y1 0.0000 0.0000 0.0000 1
Ho1 0.0000 0.5000 0.1247 1
Si1 0.0000 0.0000 0.2193 1
Si2 0.0000 0.1812 0.5000 1
Pd1 0.0000 0.2985 0.3251 1

12.
# YHoSi2Pd4, optimized geometry, DFT GGA-PBE
# Raw total energy = -6.279 eV per atom
# Volume = 140.26 Å³/f.u.
data_YHoSi2Pd4
_cell_length_a 7.1227
_cell_length_b 3.8677
_cell_length_c 10.1826
_cell_angle_alpha 90.00
_cell_angle_beta 90.00
_cell_angle_gamma 90.00
_space_group_name_H-M_alt 'A m m 2'
_space_group_IT_number 38
loop_
_space_group_symop_operation_xyz
'x,y,z'
'-x,-y,z'
'-x,y,z'
'x,-y,z'
'x,y+1/2,z+1/2'
'-x,-y+1/2,z+1/2'
'-x,y+1/2,z+1/2'
'x,-y+1/2,z+1/2'
loop_
_atom_site_label
_atom_site_fract_x
_atom_site_fract_y
_atom_site_fract_z
_atom_site_occupancy
Y1 0.0000 0.0000 0.0000 1
Ho1 0.5000 0.0000 0.1069 1
Si1 0.0000 0.0000 0.2832 1
Si2 0.5000 0.0000 0.8239 1
Pd1 0.1974 0.0000 0.6992 1
Pd2 0.3039 0.0000 0.4080 1